Record 1
Below is an optimized crystal structure of Te4IrRu, with properties calculated at the GGA-PBEsol level.

Its total energy is -3.9871 eV per atom. The calculation puts the density of states at the Fermi level at 32.93 states/eV/cell. The calculation puts the total magnetization at 0.517 μB/atom. The uncorrected formation energy is 1.696 eV/atom.

The space group is F-43m (No. 216) and the conventional cell measures 8.334, 8.334 and 8.334 Å, with angles of 90.00, 90.00 and 90.00 degrees. Symmetry generates all atoms from Te at (0.125, 0.125, 0.125), Ir at (0.250, 0.250, 0.750) and Ru at (0.000, 0.000, 0.500).

***

Record 2
Below is an optimized crystal structure of LiTiAsBr2, with properties calculated at the GGA-PBEsol level.

Its total energy is -4.4017 eV per atom. The calculation puts the density of states at the Fermi level at 2.72 states/eV/cell. The calculation puts the total magnetization at 0.000 μB/atom. The uncorrected formation energy is -0.575 eV/atom.

The space group is P4/mmm (No. 123) and the conventional cell measures 5.111, 5.111 and 4.903 Å, with angles of 90.00, 90.00 and 90.00 degrees. Symmetry generates all atoms from Li at (0.000, 0.000, 0.000), Ti at (0.500, 0.500, 0.500), As at (0.500, 0.500, 0.000) and Br at (0.000, 0.500, 0.500).

***

Record 3
Below is an optimized crystal structure of YTeO2F, with properties calculated at the GGA-PBEsol level.

Its total energy is -6.3933 eV per atom. The calculation puts the density of states at the Fermi level at 2.34 states/eV/cell. The calculation puts the total magnetization at 0.000 μB/atom. The uncorrected formation energy is -1.838 eV/atom.

The space group is P4/mmm (No. 123) and the conventional cell measures 4.411, 4.411 and 4.175 Å, with angles of 90.00, 90.00 and 90.00 degrees. Symmetry generates all atoms from Y at (0.000, 0.000, 0.000), Te at (0.500, 0.500, 0.500), O at (0.000, 0.500, 0.000) and F at (0.000, 0.000, 0.500).

***

Record 4
Below is an optimized crystal structure of CrMoSeN2, with properties calculated at the GGA-PBEsol level.

Its total energy is -8.1745 eV per atom. The calculation puts the density of states at the Fermi level at 3.41 states/eV/cell. The calculation puts the total magnetization at 0.823 μB/atom. The uncorrected formation energy is 0.408 eV/atom.

The space group is P4/mmm (No. 123) and the conventional cell measures 3.835, 3.835 and 5.232 Å, with angles of 90.00, 90.00 and 90.00 degrees. Symmetry generates all atoms from Cr at (0.000, 0.000, 0.000), Mo at (0.500, 0.500, 0.500), Se at (0.500, 0.500, 0.000) and N at (0.000, 0.500, 0.500).

***

Record 5
Below is an optimized crystal structure of LiZrPb, with properties calculated at the GGA-PBEsol level.

Its total energy is -5.0490 eV per atom. The calculation puts the formation enthalpy at 0 K at -3.0 kJ per mole of atoms. The calculation puts the density of states at the Fermi level at 5.43 states/eV/cell. The calculation puts the total magnetization at 0.000 μB/atom.

The space group is I4mm (No. 107) and the conventional cell measures 3.300, 3.300 and 11.256 Å, with angles of 90.00, 90.00 and 90.00 degrees. Symmetry generates all atoms from Li at (0.000, 0.000, 0.000), Zr at (0.000, 0.000, 0.326) and Pb at (0.000, 0.000, 0.635).

***

Record 6
Below is an optimized crystal structure of InMoP2, with properties calculated at the GGA-PBEsol level.

Its total energy is -6.3480 eV per atom. The calculation puts the formation enthalpy at 0 K at 22.7 kJ per mole of atoms. The calculation puts the density of states at the Fermi level at 4.13 states/eV/cell. The calculation puts the total magnetization at 0.000 μB/atom.

The space group is Imm2 (No. 44) and the conventional cell measures 3.135, 4.528 and 8.865 Å, with angles of 90.00, 90.00 and 90.00 degrees. Symmetry generates all atoms from In at (0.000, 0.000, 0.000), Mo at (0.000, 0.500, 0.788), P at (0.000, 0.000, 0.502) and P at (0.000, 0.500, 0.228).

***

Record 7
Below is an optimized crystal structure of MgZr2Al2, with properties calculated at the GGA-PBEsol level.

Its total energy is -5.4505 eV per atom. The calculation puts the formation enthalpy at 0 K at 16.0 kJ per mole of atoms. The calculation puts the density of states at the Fermi level at 9.18 states/eV/cell. The calculation puts the total magnetization at 0.000 μB/atom.

The space group is I4/mmm (No. 139) and the conventional cell measures 4.234, 4.234 and 12.437 Å, with angles of 90.00, 90.00 and 90.00 degrees. Symmetry generates all atoms from Mg at (0.000, 0.000, 0.000), Zr at (0.000, 0.500, 0.250) and Al at (0.000, 0.000, 0.401).

***

Record 8
Below is an optimized crystal structure of Fe3Ge, with properties calculated at the GGA-PBEsol level.

Its total energy is -8.0674 eV per atom. The calculation puts the formation enthalpy at 0 K at -10.6 kJ per mole of atoms. The calculation puts the density of states at the Fermi level at 2.74 states/eV/cell. The calculation puts the total magnetization at 1.560 μB/atom.

The space group is Pm-3m (No. 221) and the conventional cell measures 3.576, 3.576 and 3.576 Å, with angles of 90.00, 90.00 and 90.00 degrees. Symmetry generates all atoms from Fe at (0.000, 0.000, 0.500) and Ge at (0.500, 0.500, 0.500).

***

Record 9
Below is an optimized crystal structure of MgBe3Si, with properties calculated at the GGA-PBEsol level.

Its total energy is -3.0949 eV per atom. The calculation puts the density of states at the Fermi level at 2.70 states/eV/cell. The calculation puts the total magnetization at 0.000 μB/atom. The uncorrected formation energy is 0.798 eV/atom.

The space group is Pm-3m (No. 221) and the conventional cell measures 4.232, 4.232 and 4.232 Å, with angles of 90.00, 90.00 and 90.00 degrees. Symmetry generates all atoms from Mg at (0.000, 0.000, 0.000), Be at (0.000, 0.500, 0.500) and Si at (0.500, 0.500, 0.500).

***

Record 10
Below is an optimized crystal structure of Na2FeO2, with properties calculated at the GGA-PBEsol level.

Its total energy is -5.6800 eV per atom. The calculation puts the density of states at the Fermi level at 5.14 states/eV/cell. The calculation puts the total magnetization at 0.400 μB/atom. The uncorrected formation energy is -1.228 eV/atom.

The space group is Immm (No. 71) and the conventional cell measures 2.799, 4.653 and 9.501 Å, with angles of 90.00, 90.00 and 90.00 degrees. Symmetry generates all atoms from Na at (0.000, 0.000, 0.174), Fe at (0.000, 0.000, 0.500) and O at (0.000, 0.500, 0.133).

***

Record 11
Below is an optimized crystal structure of TcIrNO2, with properties calculated at the GGA-PBEsol level.

Its total energy is -7.3238 eV per atom. The calculation puts the density of states at the Fermi level at 2.88 states/eV/cell. The calculation puts the total magnetization at 0.850 μB/atom. The uncorrected formation energy is 0.699 eV/atom.

The space group is P4/mmm (No. 123) and the conventional cell measures 3.971, 3.971 and 3.733 Å, with angles of 90.00, 90.00 and 90.00 degrees. Symmetry generates all atoms from Tc at (0.000, 0.000, 0.000), Ir at (0.500, 0.500, 0.500), N at (0.500, 0.500, 0.000) and O at (0.000, 0.500, 0.500).

***

Record 12
Below is an optimized crystal structure of Sc3Co, with properties calculated at the GGA-PBEsol level.

Its total energy is -7.0270 eV per atom. The calculation puts the formation enthalpy at 0 K at -13.4 kJ per mole of atoms. The calculation puts the density of states at the Fermi level at 5.55 states/eV/cell. The calculation puts the total magnetization at 0.169 μB/atom.

The space group is P4/mmm (No. 123) and the conventional cell measures 3.119, 3.119 and 7.914 Å, with angles of 90.00, 90.00 and 90.00 degrees. Symmetry generates all atoms from Sc at (0.000, 0.000, 0.000), Sc at (0.500, 0.500, 0.312) and Co at (0.000, 0.000, 0.500).

***

Record 13
Below is an optimized crystal structure of CoTc3Au, with properties calculated at the GGA-PBEsol level.

Its total energy is -7.7446 eV per atom. The calculation puts the formation enthalpy at 0 K at 130.0 kJ per mole of atoms. The calculation puts the density of states at the Fermi level at 5.83 states/eV/cell. The calculation puts the total magnetization at 0.029 μB/atom.

The space group is Pm-3m (No. 221) and the conventional cell measures 4.313, 4.313 and 4.313 Å, with angles of 90.00, 90.00 and 90.00 degrees. Symmetry generates all atoms from Co at (0.000, 0.000, 0.000), Tc at (0.000, 0.000, 0.500) and Au at (0.500, 0.500, 0.500).